(1)
Entry from Alexandria: a geometry-optimized AcYSi structure (PBE).

Geometry as POSCAR:
```
AcYSi
1.0
0.000 3.618 3.618
3.618 0.000 3.618
3.618 3.618 0.000
Ac Y Si
1 1 1
direct
0.000 0.000 0.000
0.500 0.500 0.500
0.750 0.750 0.750
```

- total energy (eV/cell) = -17.0
- theoretical density (g/cm3) = 6.03
- space group = F-43m (216)
- total moment (μB per formula unit) = 0.0

---

(2)
Entry from Alexandria: a geometry-optimized CoCu2Os structure (PBE).

Geometry as POSCAR:
```
CoCu2Os
1.0
1.338 -2.189 0.000
1.338 2.189 0.000
0.000 0.000 8.778
Co Cu Os
1 2 1
direct
0.000 0.000 0.000
0.500 0.500 0.240
0.500 0.500 0.760
0.000 0.000 0.500
```

- E above lowest polymorph (eV/atom) = 0.1925
- theoretical density (g/cm3) = 12.15
- space group = Cmmm (65)
- total moment (μB per formula unit) = 1.8

---

(3)
Entry from Alexandria: a geometry-optimized Rb3Ag2PdCl9 structure (PBE).

Geometry as POSCAR:
```
Rb3Ag2PdCl9
1.0
7.263 0.000 0.000
-3.632 6.290 0.000
0.000 0.000 8.828
Rb Ag Pd Cl
3 2 1 9
direct
0.000 0.000 0.000
0.333 0.667 0.681
0.667 0.333 0.319
0.333 0.667 0.172
0.667 0.333 0.828
0.000 0.000 0.500
0.000 0.500 0.000
0.159 0.318 0.342
0.159 0.841 0.342
0.318 0.159 0.658
0.500 0.000 0.000
0.500 0.500 0.000
0.682 0.841 0.342
0.841 0.159 0.658
0.841 0.682 0.658
```

- total energy (eV/cell) = -46.7
- theoretical density (g/cm3) = 3.70
- space group = P-3m1 (164)
- total moment (μB per formula unit) = 0.0

---

(4)
Entry from Alexandria: a geometry-optimized SrIn2Os structure (PBE).

Geometry as POSCAR:
```
SrIn2Os
1.0
0.000 3.579 3.579
3.579 0.000 3.579
3.579 3.579 0.000
Sr In Os
1 2 1
direct
0.000 0.000 0.000
0.250 0.250 0.250
0.500 0.500 0.500
0.750 0.750 0.750
```

- total energy (eV/cell) = -16.3
- theoretical density (g/cm3) = 9.19
- space group = F-43m (216)
- total moment (μB per formula unit) = 0.0

---

(5)
Entry from Alexandria: a geometry-optimized U2GaGe structure (PBE).

Geometry as POSCAR:
```
U2GaGe
1.0
4.000 0.000 0.000
0.000 4.000 0.000
0.000 0.000 4.762
U Ga Ge
2 1 1
direct
0.000 0.500 0.000
0.500 0.000 0.000
0.000 0.000 0.500
0.500 0.500 0.500
```

- total energy (eV/cell) = -30.6
- theoretical density (g/cm3) = 13.48
- space group = P4/mmm (123)
- total moment (μB per formula unit) = 3.0

---

(6)
Entry from Alexandria: a geometry-optimized MgReSi2 structure (PBE).

Geometry as POSCAR:
```
MgReSi2
1.0
0.000 3.071 3.071
3.071 0.000 3.071
3.071 3.071 0.000
Mg Re Si
1 1 2
direct
0.000 0.000 0.000
0.750 0.750 0.750
0.250 0.250 0.250
0.500 0.500 0.500
```

- total energy (eV/cell) = -22.8
- theoretical density (g/cm3) = 7.65
- space group = F-43m (216)
- total moment (μB per formula unit) = 0.0

---

(7)
Entry from Alexandria: a geometry-optimized Tb4TePtS2 structure (PBE).

Geometry as POSCAR:
```
Tb4TePtS2
1.0
7.132 0.000 0.000
0.000 4.002 0.000
-2.293 0.000 6.833
Tb Te Pt S
4 1 1 2
direct
0.226 0.000 0.223
0.234 0.500 0.755
0.766 0.500 0.245
0.774 0.000 0.777
0.500 0.500 0.500
0.000 0.000 0.500
0.000 0.500 0.000
0.500 0.000 0.000
```

- total energy (eV/cell) = -48.6
- theoretical density (g/cm3) = 8.71
- space group = P2/m (10)
- total moment (μB per formula unit) = 0.0

---

(8)
Entry from Alexandria: a geometry-optimized Rb2Cu2Br5 structure (PBE).

Geometry as POSCAR:
```
Rb2Cu2Br5
1.0
6.807 -2.620 0.000
6.807 2.620 0.000
-1.535 0.000 8.168
Rb Cu Br
2 2 5
direct
0.095 0.095 0.296
0.905 0.905 0.704
0.336 0.336 0.121
0.664 0.664 0.879
0.187 0.187 0.900
0.360 0.360 0.414
0.500 0.500 0.000
0.640 0.640 0.586
0.813 0.813 0.100
```

- total energy (eV/cell) = -26.9
- theoretical density (g/cm3) = 3.98
- space group = C2/m (12)
- total moment (μB per formula unit) = 0.0

---

(9)
Entry from Alexandria: a geometry-optimized Sr2Cu4Ge3Rh structure (PBE).

Geometry as POSCAR:
```
Sr2Cu4Ge3Rh
1.0
4.222 0.000 0.000
0.000 4.222 0.000
0.000 0.000 10.424
Sr Cu Ge Rh
2 4 3 1
direct
0.000 0.500 0.250
0.500 0.000 0.750
0.000 0.000 0.000
0.000 0.500 0.637
0.500 0.000 0.363
0.500 0.500 0.000
0.000 0.500 0.876
0.500 0.000 0.124
0.500 0.500 0.500
0.000 0.000 0.500
```

- total energy (eV/cell) = -43.8
- theoretical density (g/cm3) = 6.71
- space group = P-4m2 (115)
- total moment (μB per formula unit) = 0.0

---

(10)
Entry from Alexandria: a geometry-optimized Ba2LiCd3Ge4 structure (PBE).

Geometry as POSCAR:
```
Ba2LiCd3Ge4
1.0
4.712 0.000 0.000
0.000 4.712 0.000
0.000 0.000 11.452
Ba Li Cd Ge
2 1 3 4
direct
0.000 0.500 0.244
0.500 0.000 0.756
0.500 0.500 0.000
0.000 0.000 0.000
0.000 0.500 0.635
0.500 0.000 0.365
0.000 0.000 0.500
0.000 0.500 0.871
0.500 0.000 0.129
0.500 0.500 0.500
```

- total energy (eV/cell) = -30.5
- theoretical density (g/cm3) = 5.94
- space group = P-4m2 (115)
- total moment (μB per formula unit) = 0.0

---

(11)
Entry from Alexandria: a geometry-optimized ZrAg4 structure (PBE).

Geometry as POSCAR:
```
ZrAg4
1.0
5.289 0.000 0.000
0.000 5.289 0.000
0.000 0.000 5.289
Zr Ag
1 4
direct
0.000 0.000 0.000
0.000 0.000 0.500
0.000 0.500 0.000
0.500 0.000 0.000
0.500 0.500 0.500
```

- total energy (eV/cell) = -13.8
- theoretical density (g/cm3) = 5.87
- space group = Pm-3m (221)
- total moment (μB per formula unit) = 0.7

---

(12)
Entry from Alexandria: a geometry-optimized Sn3HgRh structure (PBE).

Geometry as POSCAR:
```
Sn3HgRh
1.0
5.166 0.000 0.000
0.000 5.166 0.000
0.000 0.000 5.166
Sn Hg Rh
3 1 1
direct
0.000 0.000 0.500
0.000 0.500 0.000
0.500 0.000 0.000
0.500 0.500 0.500
0.000 0.000 0.000
```

- E above lowest polymorph (eV/atom) = 0.0000
- theoretical density (g/cm3) = 7.95
- space group = Pm-3m (221)
- total moment (μB per formula unit) = 0.0

---

(13)
Entry from Alexandria: a geometry-optimized Mn2TlI structure (PBE).

Geometry as POSCAR:
```
Mn2TlI
1.0
-3.872 3.872 3.297
3.872 -3.872 3.297
3.872 3.872 -3.297
Mn Tl I
4 2 2
direct
0.124 0.625 0.999
0.375 0.374 0.499
0.626 0.125 0.001
0.875 0.876 0.501
0.250 0.750 0.500
0.500 0.500 0.000
0.000 0.000 0.000
0.750 0.250 0.500
```

- E above lowest polymorph (eV/atom) = 0.0000
- theoretical density (g/cm3) = 7.41
- space group = I-42d (122)
- total moment (μB per formula unit) = 8.3

---

(14)
Entry from Alexandria: a geometry-optimized PuUSi2 structure (PBE).

Geometry as POSCAR:
```
PuUSi2
1.0
3.790 0.000 0.000
0.000 3.790 0.000
0.000 0.000 5.455
Pu U Si
1 1 2
direct
0.000 0.000 0.000
0.000 0.000 0.500
0.500 0.500 0.252
0.500 0.500 0.748
```

- E above lowest polymorph (eV/atom) = 0.0045
- theoretical density (g/cm3) = 11.41
- space group = P4/mmm (123)
- total moment (μB per formula unit) = 7.4

---

(15)
Entry from Alexandria: a geometry-optimized ReTc2W structure (PBE).

Geometry as POSCAR:
```
ReTc2W
1.0
-1.962 1.962 3.936
1.962 -1.962 3.936
1.962 1.962 -3.936
Re Tc W
1 2 1
direct
0.000 0.000 0.000
0.250 0.750 0.500
0.500 0.500 0.000
0.750 0.250 0.500
```

- E above lowest polymorph (eV/atom) = 0.0128
- theoretical density (g/cm3) = 15.51
- space group = I-4m2 (119)
- total moment (μB per formula unit) = 0.0

---

(16)
Entry from Alexandria: a geometry-optimized Y3AlNi structure (PBE).

Geometry as POSCAR:
```
Y3AlNi
1.0
11.461 0.000 0.000
0.000 3.790 0.000
0.000 0.000 11.330
Y Al Ni
12 4 4
direct
0.037 0.250 0.119
0.080 0.750 0.382
0.186 0.750 0.696
0.314 0.250 0.196
0.420 0.250 0.882
0.463 0.750 0.619
0.537 0.250 0.381
0.580 0.750 0.118
0.686 0.750 0.804
0.814 0.250 0.304
0.920 0.250 0.618
0.963 0.750 0.881
0.229 0.750 0.990
0.271 0.250 0.490
0.729 0.750 0.510
0.771 0.250 0.010
0.144 0.250 0.883
0.356 0.750 0.383
0.644 0.250 0.617
0.856 0.750 0.117
```

- E above lowest polymorph (eV/atom) = 0.0000
- theoretical density (g/cm3) = 4.76
- space group = Pnma (62)
- total moment (μB per formula unit) = 0.0

---

(17)
Entry from Alexandria: a geometry-optimized MnGeBi3 structure (PBE).

Geometry as POSCAR:
```
MnGeBi3
1.0
5.514 0.000 0.000
0.000 5.514 0.000
0.000 0.000 5.514
Mn Ge Bi
1 1 3
direct
0.000 0.000 0.000
0.500 0.500 0.500
0.000 0.500 0.500
0.500 0.000 0.500
0.500 0.500 0.000
```

- E above lowest polymorph (eV/atom) = 0.3088
- theoretical density (g/cm3) = 7.47
- space group = Pm-3m (221)
- total moment (μB per formula unit) = 4.2

---

(18)
Entry from Alexandria: a geometry-optimized K3Cu2AgBr8 structure (PBE).

Geometry as POSCAR:
```
K3Cu2AgBr8
1.0
7.505 0.000 0.000
-3.753 6.500 0.000
0.000 0.000 9.444
K Cu Ag Br
3 2 1 8
direct
0.000 0.000 0.000
0.333 0.667 0.612
0.667 0.333 0.388
0.333 0.667 0.196
0.667 0.333 0.804
0.000 0.000 0.500
0.168 0.335 0.320
0.168 0.832 0.320
0.333 0.667 0.952
0.335 0.168 0.680
0.665 0.832 0.320
0.667 0.333 0.048
0.832 0.168 0.680
0.832 0.665 0.680
```

- total energy (eV/cell) = -40.1
- theoretical density (g/cm3) = 3.57
- space group = P-3m1 (164)
- total moment (μB per formula unit) = 0.0

---

(19)
Entry from Alexandria: a geometry-optimized Ac2SmTe2O2 structure (PBE).

Geometry as POSCAR:
```
Ac2SmTe2O2
1.0
-2.295 2.295 8.597
2.295 -2.295 8.597
2.295 2.295 -8.597
Ac Sm Te O
2 1 2 2
direct
0.115 0.115 0.000
0.885 0.885 0.000
0.500 0.500 0.000
0.318 0.318 0.000
0.682 0.682 0.000
0.000 0.500 0.500
0.500 0.000 0.500
```

- total energy (eV/cell) = -44.6
- theoretical density (g/cm3) = 8.17
- space group = I4/mmm (139)
- total moment (μB per formula unit) = 0.0

---

(20)
Entry from Alexandria: a geometry-optimized ThTl2Ag structure (PBE).

Geometry as POSCAR:
```
ThTl2Ag
1.0
3.616 0.000 0.000
0.000 3.616 0.000
0.000 0.000 7.871
Th Tl Ag
1 2 1
direct
0.000 0.000 0.000
0.500 0.500 0.283
0.500 0.500 0.717
0.000 0.000 0.500
```

- total energy (eV/cell) = -15.0
- theoretical density (g/cm3) = 12.08
- space group = P4/mmm (123)
- total moment (μB per formula unit) = 0.0